Entry 1:
A plane-wave DFT calculation with PBE-GGA was carried out for Mg2MnGa3 after structural relaxation.

Space-group type = No. 63
DFT total energy = -3.7367 eV/atom
V = 16.81 A^3/atom
ΔE_f = -0.164 eV per atom

a = 5.101 Å, b = 5.101 Å, c = 8.594 Å
α = 90.00°, β = 90.00°, γ = 115.55°
Sites, in units of the cell vectors:
Mg 0.673 0.327 0.066
Mg 0.327 0.673 0.934
Mg 0.327 0.673 0.566
Mg 0.673 0.327 0.434
Mn 0.842 0.158 0.750
Mn 0.158 0.842 0.250
Ga 0.828 0.646 0.750
Ga 0.172 0.354 0.250
Ga 0.354 0.172 0.750
Ga 0.646 0.828 0.250
Ga 0.000 0.000 0.500
Ga 0.000 0.000 0.000

Entry 2:
A plane-wave DFT calculation with PBE-GGA was carried out for CaCuIr2 after structural relaxation.

Space-group type = No. 99
ΔE to the lowest computed polymorph = 129 meV per atom
DFT total energy = -5.8024 eV/atom
V = 17.10 A^3/atom
ΔE_f = 0.152 eV per atom

a = 3.137 Å, b = 3.137 Å, c = 6.951 Å
α = 90.00°, β = 90.00°, γ = 90.00°
Sites, in units of the cell vectors:
Ca 0.000 0.000 0.503
Ir 0.000 0.000 0.986
Ir 0.500 0.500 0.207
Cu 0.500 0.500 0.804

Entry 3:
A plane-wave DFT calculation with PBE-GGA was carried out for Sr3Tl12Ag after structural relaxation.

Space-group type = No. 123
DFT total energy = -2.4294 eV/atom
V = 30.17 A^3/atom
ΔE_f = -0.161 eV per atom

a = 5.187 Å, b = 5.187 Å, c = 17.943 Å
α = 90.00°, β = 90.00°, γ = 90.00°
Sites, in units of the cell vectors:
Sr 0.000 0.000 0.236
Sr 0.000 0.000 0.500
Sr 0.000 0.000 0.764
Tl 0.500 0.500 0.000
Tl 0.500 0.500 0.242
Tl 0.500 0.500 0.500
Tl 0.500 0.500 0.758
Tl 0.500 0.000 0.107
Tl 0.500 0.000 0.369
Tl 0.500 0.000 0.631
Tl 0.500 0.000 0.893
Tl 0.000 0.500 0.107
Tl 0.000 0.500 0.369
Tl 0.000 0.500 0.631
Tl 0.000 0.500 0.893
Ag 0.000 0.000 0.000

Entry 4:
A plane-wave DFT calculation with PBE-GGA was carried out for FeCuC after structural relaxation.

Space-group type = No. 38
ΔE to the lowest computed polymorph = 0 meV per atom
DFT total energy = -6.8279 eV/atom
V = 9.41 A^3/atom
ΔE_f = 0.433 eV per atom

a = 2.618 Å, b = 2.590 Å, c = 8.323 Å
α = 90.00°, β = 90.00°, γ = 90.00°
Sites, in units of the cell vectors:
C 0.000 0.000 0.898
C 0.000 0.500 0.398
Fe 0.500 0.000 0.469
Fe 0.500 0.500 0.969
Cu 0.000 0.000 0.200
Cu 0.000 0.500 0.700

Entry 5:
A plane-wave DFT calculation with PBE-GGA was carried out for NdScH2 after structural relaxation.

Space-group type = No. 160
ΔE to the lowest computed polymorph = 67 meV per atom
DFT total energy = -4.7182 eV/atom
V = 14.49 A^3/atom

a = 3.392 Å, b = 3.392 Å, c = 6.138 Å
α = 73.96°, β = 73.96°, γ = 60.00°
Sites, in units of the cell vectors:
Nd 0.491 0.491 0.526
Sc 0.669 0.669 0.994
H 0.063 0.063 0.812
H 0.277 0.277 0.168

Entry 6:
A plane-wave DFT calculation with PBE-GGA was carried out for Na3MgSn after structural relaxation.

Space-group type = No. 2
ΔE to the lowest computed polymorph = 153 meV per atom
DFT total energy = -1.8107 eV/atom
V = 38.95 A^3/atom
ΔE_f = 0.100 eV per atom

a = 5.520 Å, b = 6.942 Å, c = 6.576 Å
α = 118.85°, β = 90.98°, γ = 65.14°
Sites, in units of the cell vectors:
Na 0.000 0.000 0.500
Na 0.000 0.500 0.500
Na 0.000 0.500 0.000
Mg 0.500 0.000 0.000
Sn 0.000 0.000 0.000

Entry 7:
A plane-wave DFT calculation with PBE-GGA was carried out for CaTcPb2 after structural relaxation.

Space-group type = No. 44
ΔE to the lowest computed polymorph = 111 meV per atom
DFT total energy = -4.7123 eV/atom
V = 26.45 A^3/atom
ΔE_f = 0.234 eV per atom

a = 7.575 Å, b = 7.575 Å, c = 4.444 Å
α = 72.96°, β = 72.96°, γ = 25.79°
Sites, in units of the cell vectors:
Pb 0.007 0.007 0.993
Pb 0.822 0.822 0.678
Ca 0.183 0.183 0.317
Tc 0.488 0.488 0.512

Entry 8:
A plane-wave DFT calculation with PBE-GGA was carried out for Nd4BPBr2 after structural relaxation.

Space-group type = No. 10
ΔE_f (raw) = -111 kJ/mol of atoms
DFT total energy = -5.4601 eV/atom
V = 26.72 A^3/atom

a = 4.083 Å, b = 7.092 Å, c = 7.744 Å
α = 107.62°, β = 90.00°, γ = 90.00°
Sites, in units of the cell vectors:
Nd 0.500 0.215 0.194
Nd 0.500 0.785 0.806
Nd 0.000 0.252 0.801
Nd 0.000 0.748 0.199
B 0.000 0.000 0.000
P 0.500 0.500 0.000
Br 0.500 0.000 0.500
Br 0.000 0.500 0.500

Entry 9:
A plane-wave DFT calculation with PBE-GGA was carried out for Cr2RuW after structural relaxation.

Space-group type = No. 65
ΔE to the lowest computed polymorph = 135 meV per atom
DFT total energy = -10.1473 eV/atom
V = 13.63 A^3/atom
ΔE_f = 0.222 eV per atom

a = 2.640 Å, b = 2.640 Å, c = 8.286 Å
α = 90.00°, β = 90.00°, γ = 109.22°
Sites, in units of the cell vectors:
Cr 0.000 0.000 0.005
Cr 0.000 0.000 0.495
Ru 0.500 0.500 0.250
W 0.500 0.500 0.750

Entry 10:
A plane-wave DFT calculation with PBE-GGA was carried out for BaCeReO6 after structural relaxation.

Space-group type = No. 74
ΔE_f (raw) = -238 kJ/mol of atoms
DFT total energy = -8.0296 eV/atom
V = 15.21 A^3/atom

a = 7.447 Å, b = 7.355 Å, c = 7.238 Å
α = 120.54°, β = 120.96°, γ = 90.00°
Sites, in units of the cell vectors:
Ba 0.838 0.588 0.676
Ba 0.162 0.412 0.324
Ce 0.500 0.000 0.500
Ce 0.000 0.000 0.500
Re 0.500 0.500 0.000
Re 0.500 0.000 0.000
O 0.572 0.822 0.143
O 0.864 0.114 0.727
O 0.810 0.172 0.259
O 0.449 0.587 0.259
O 0.449 0.172 0.259
O 0.810 0.587 0.259
O 0.428 0.178 0.857
O 0.136 0.886 0.273
O 0.190 0.828 0.741
O 0.551 0.413 0.741
O 0.551 0.828 0.741
O 0.190 0.413 0.741

Entry 11:
A plane-wave DFT calculation with PBE-GGA was carried out for TaHI2 after structural relaxation.

Space-group type = No. 122
DFT total energy = -3.7221 eV/atom
V = 24.27 A^3/atom

a = 6.031 Å, b = 6.031 Å, c = 6.832 Å
α = 63.81°, β = 63.81°, γ = 90.00°
Sites, in units of the cell vectors:
I 0.575 0.125 0.250
I 0.175 0.625 0.250
I 0.375 0.425 0.750
I 0.875 0.825 0.750
H 0.500 0.500 0.000
H 0.250 0.750 0.500
Ta 0.000 0.000 0.000
Ta 0.750 0.250 0.500

Entry 12:
A plane-wave DFT calculation with PBE-GGA was carried out for KRuRh after structural relaxation.

Space-group type = No. 62
ΔE to the lowest computed polymorph = 144 meV per atom
DFT total energy = -5.2803 eV/atom
V = 28.52 A^3/atom
ΔE_f = 0.628 eV per atom

a = 4.567 Å, b = 4.409 Å, c = 17.001 Å
α = 90.00°, β = 90.00°, γ = 90.00°
Sites, in units of the cell vectors:
Ru 0.186 0.250 0.943
Ru 0.314 0.750 0.443
Ru 0.814 0.750 0.057
Ru 0.686 0.250 0.557
K 0.771 0.250 0.343
K 0.729 0.750 0.843
K 0.229 0.750 0.657
K 0.271 0.250 0.157
Rh 0.213 0.250 0.499
Rh 0.287 0.750 0.999
Rh 0.787 0.750 0.501
Rh 0.713 0.250 0.001